1.
! Cs2NpTcO6 PBE relaxed; values from VASP
! **Formation energy without anion corrections**: -2.01 eV/atom
! **SG**: I4/mmm (139)
&SYSTEM
  ibrav = 0, nat = 10, ntyp = 4
/
ATOMIC_SPECIES
O 16.00 O.upf
Cs 132.91 Cs.upf
Tc 98.00 Tc.upf
Np 237.00 Np.upf
CELL_PARAMETERS angstrom
5.8326 0.0000 0.0003
-0.0001 5.8326 0.0003
2.9164 2.9165 5.9314
ATOMIC_POSITIONS angstrom
O 5.8325 5.8325 1.8791
O 4.5093 4.5099 5.9314
O 4.2391 1.5930 0.0003
O 4.2397 4.2391 0.0007
O 2.9164 2.9165 4.0530
O 1.5934 4.2395 0.0003
Cs 2.9161 5.8328 2.9665
Cs 5.8328 2.9162 2.9655
Tc 2.9163 2.9163 0.0003
Np 0.0000 0.0000 0.0000

=====

2.
! Tb8Ir3Rh2 PBE relaxed; values from VASP
! **Formation energy**: -0.708 eV per atom
! **SG**: Cmmm (65)
&SYSTEM
  ibrav = 0, nat = 13, ntyp = 3
/
ATOMIC_SPECIES
Tb 158.93 Tb.upf
Ir 192.22 Ir.upf
Rh 102.91 Rh.upf
CELL_PARAMETERS angstrom
4.8254 0.0000 0.0001
0.0001 7.8434 3.0318
0.0000 -0.2034 8.4044
ATOMIC_POSITIONS angstrom
Tb 2.4127 2.7509 8.4586
Tb 2.4126 0.8795 5.6551
Tb 4.8253 2.8947 4.3321
Tb 0.0001 4.7453 7.1041
Tb 0.0000 6.6892 10.0115
Tb 2.4127 6.7605 5.7811
Tb 2.4127 4.8891 2.9776
Tb 4.8254 0.9508 1.4247
Ir 0.0000 1.8114 7.0593
Ir 2.4127 0.0000 0.0000
Ir 0.0000 5.8286 4.3768
Rh 2.4128 5.7323 8.5803
Rh 2.4126 1.9078 2.8559

=====

3.
! SnSbP PBE relaxed; values from VASP
! **Formation energy without anion corrections**: 0.08 eV/atom
! **E above lowest polymorph**: 0.025 eV/atom
! **SG**: P1 (1)
&SYSTEM
  ibrav = 0, nat = 6, ntyp = 3
/
ATOMIC_SPECIES
Sb 121.76 Sb.upf
P 30.97 P.upf
Sn 118.71 Sn.upf
CELL_PARAMETERS angstrom
-3.5451 -2.3664 2.1658
-1.4553 -3.4460 -3.0880
3.0344 -6.1929 2.6348
ATOMIC_POSITIONS angstrom
Sb -1.5425 -6.5598 2.4388
Sb 0.0683 -10.0763 0.6110
P -0.4254 -4.4702 -0.9039
P -0.5881 -6.6460 -0.6268
Sn -1.6532 -3.5912 1.5522
Sn 1.6708 -7.3810 0.7451

=====

4.
! Li2CaPbBr6 PBE relaxed; values from VASP
! **Formation energy without anion corrections**: -1.48 eV/atom
! **SG**: R3 (146)
&SYSTEM
  ibrav = 0, nat = 10, ntyp = 4
/
ATOMIC_SPECIES
Ca 40.08 Ca.upf
Br 79.90 Br.upf
Li 6.94 Li.upf
Pb 207.20 Pb.upf
CELL_PARAMETERS angstrom
7.2360 -0.0009 -0.0003
3.6172 6.2663 -0.0012
3.6170 2.0877 6.5290
ATOMIC_POSITIONS angstrom
Ca 3.6182 2.0885 0.3153
Br 8.0816 6.2038 4.9001
Br 8.5675 2.4289 4.9007
Br 9.5695 4.3766 1.5943
Br 5.0564 3.8965 4.9012
Br 5.8945 6.0984 1.5935
Br 6.2411 2.0554 1.5947
Li 3.6170 2.0873 6.2864
Li 7.2344 4.1764 3.0208
Pb 10.8530 6.2650 3.6305

=====

Which formula does entry 3 have? SnSbP